[1]
# AlCoNiF6 PBE+U relaxed
# DOS at the Fermi energy: 1.0 states/eV/cell
data_AlCoNiF6
_cell_length_a 5.1103
_cell_length_b 5.1103
_cell_length_c 8.8402
_cell_angle_alpha 90.00
_cell_angle_beta 90.00
_cell_angle_gamma 120.00
_space_group_name_H-M_alt 'P -3 1 c'
_space_group_IT_number 163
_space_group_name_Hall '-P 3 2c'
loop_
_atom_site_label
_atom_site_type_symbol
_atom_site_fract_x
_atom_site_fract_y
_atom_site_fract_z
Al1 Al 0.3333 0.6667 0.2500
Co1 Co 0.3333 0.6667 0.7500
Ni1 Ni 0.0000 0.0000 0.0000
F1 F 0.0523 0.3608 0.1295

[2]
Computed, not measured: an optimized crystal structure of HoCrClO4 at the PBE+U level of DFT.

Structure (CIF):
```
data_HoCrClO4
_cell_length_a 9.9568
_cell_length_b 7.1653
_cell_length_c 6.6520
_cell_angle_alpha 90.00
_cell_angle_beta 105.39
_cell_angle_gamma 90.00
_space_group_name_H-M_alt 'C 1 2/m 1'
_space_group_IT_number 12
_space_group_name_Hall '-C 2y'
loop_
_atom_site_label
_atom_site_type_symbol
_atom_site_fract_x
_atom_site_fract_y
_atom_site_fract_z
Ho1 Ho 0.2233 0.0000 0.1134
Cr1 Cr 0.1395 0.5000 0.2692
Cl1 Cl 0.0139 0.0000 0.7631
O1 O 0.0306 0.5000 0.7716
O2 O 0.1917 0.3165 0.1475
O3 O 0.2141 0.5000 0.5203
```

| no. | E (eV per atom) |
| --- | --- |
| 1 | -4.966 |
| 2 | -6.843 |